Entry 1:
A geometry-optimized AcCe2C structure, computed with GGA-PBE.

Calculated values
SG: No. 123
Polymorph energy (0 for the lowest one) (eV/atom): 0.200
Spin magnetization (μB/f.u.): 0.1
Energy of formation from the pure elements (meV per atom): 226.2
N(E_F) (states/eV per cell): 6.146

a b c (Å): 3.3424 3.3424 8.9348
angles (deg): 90.00 90.00 90.00
Atoms (fractional coordinates):
Ac 0.5000 0.5000 0.5000
Ce 0.0000 0.0000 0.1499
C 0.5000 0.5000 0.0000
Ce 0.0000 0.0000 0.8501

=====

Entry 2:
A geometry-optimized AcCeC2 structure, computed with GGA-PBE.

Calculated values
SG: No. 166
Spin magnetization (μB/f.u.): 0.0
Energy of formation from the pure elements (meV per atom): 253.5
N(E_F) (states/eV per cell): 4.963

a b c (Å): 3.8121 3.8121 6.6077
angles (deg): 73.23 73.23 60.00
Atoms (fractional coordinates):
C 0.7385 0.7385 0.7846
C 0.2615 0.2615 0.2154
Ce 0.0000 0.0000 0.0000
Ac 0.5000 0.5000 0.5000

=====

Entry 3:
A geometry-optimized Ac2CeC2N6 structure, computed with GGA-PBE.

Calculated values
SG: No. 12
Spin magnetization (μB/f.u.): 0.0
Formation energy (no corrections) (eV/atom): -0.8825

a b c (Å): 5.4408 5.5684 6.6825
angles (deg): 116.55 90.00 119.24
Atoms (fractional coordinates):
Ce 0.5000 0.0000 0.5000
C 0.0580 0.1160 0.2529
N 0.1957 0.9534 0.2190
N 0.2195 0.4389 0.3325
Ac 0.7116 0.4233 0.1924
N 0.2423 0.0466 0.7810
N 0.7577 0.9534 0.2190
N 0.7805 0.5611 0.6675
N 0.8043 0.0466 0.7810
C 0.9420 0.8840 0.7471
Ac 0.2884 0.5767 0.8076

=====

Entry 4:
A geometry-optimized AcCeC2O8 structure, computed with GGA-PBE.

Calculated values
SG: No. 166
Spin magnetization (μB/f.u.): 0.9
Formation energy (no corrections) (eV/atom): -2.1369
N(E_F) (states/eV per cell): 7.056

a b c (Å): 4.8829 4.8796 7.0259
angles (deg): 69.65 69.67 59.98
Atoms (fractional coordinates):
C 0.2638 0.2644 0.2080
C 0.7362 0.7356 0.7920
O 0.5473 0.0852 0.2823
O 0.0849 0.5476 0.2827
O 0.3361 0.3377 0.9901
Ac 0.5000 0.5000 0.5000
O 0.4527 0.9148 0.7177
O 0.0853 0.0852 0.2823
O 0.9151 0.4524 0.7173
O 0.6639 0.6623 0.0099
O 0.9147 0.9148 0.7177
Ce 0.0000 0.0000 0.0000

=====

Entry 5:
A geometry-optimized Ac3CePb2C structure, computed with GGA-PBE.

Calculated values
SG: No. 71
Spin magnetization (μB/f.u.): 0.6
Energy of formation from the pure elements (meV per atom): -366.9
N(E_F) (states/eV per cell): 6.265

a b c (Å): 4.9912 5.3448 9.5898
angles (deg): 106.18 105.08 90.00
Atoms (fractional coordinates):
Ac 0.0000 0.5000 0.0000
Ac 0.1649 0.1649 0.3297
Pb 0.6383 0.6383 0.2765
Ce 0.5000 0.0000 0.0000
Ac 0.8351 0.8351 0.6703
Pb 0.3617 0.3617 0.7235
C 0.0000 0.0000 0.0000

=====

Entry 6:
A geometry-optimized AcCCl structure, computed with GGA-PBE.

Calculated values
SG: No. 12
Spin magnetization (μB/f.u.): 0.0
Formation energy (no corrections) (eV/atom): -1.1449
N(E_F) (states/eV per cell): 1.197

a b c (Å): 4.2731 4.2730 9.2812
angles (deg): 89.46 89.45 70.30
Atoms (fractional coordinates):
C 0.2238 0.7592 0.0563
Ac 0.0414 0.3039 0.2216
Cl 0.6606 0.9231 0.3975
Cl 0.0597 0.3219 0.7151
Ac 0.6792 0.9415 0.8911
C 0.4969 0.4861 0.0563

=====

Entry 7:
A geometry-optimized Ac3CCl3 structure, computed with GGA-PBE.

Calculated values
SG: No. 12
Spin magnetization (μB/f.u.): 1.1
Formation energy (no corrections) (eV/atom): -1.2169
N(E_F) (states/eV per cell): 6.277

a b c (Å): 8.1458 8.1458 7.0804
angles (deg): 89.45 89.45 110.72
Atoms (fractional coordinates):
Cl 0.7580 0.2420 0.0000
Cl 0.1806 0.8194 0.5000
C 0.8549 0.8549 0.8612
Cl 0.5146 0.5146 0.2542
Ac 0.8777 0.5808 0.7578
Ac 0.5808 0.8777 0.7578
Ac 0.1233 0.1233 0.7846
Cl 0.4854 0.4854 0.7458
Ac 0.8767 0.8767 0.2154
Cl 0.2420 0.7580 0.0000
Ac 0.1223 0.4192 0.2422
Ac 0.4192 0.1223 0.2422
C 0.1451 0.1451 0.1388
Cl 0.8194 0.1806 0.5000

=====

Entry 8:
A geometry-optimized Ac6IrC2Cl3 structure, computed with GGA-PBE.

Calculated values
SG: No. 12
Spin magnetization (μB/f.u.): 0.0
Formation energy (no corrections) (eV/atom): -0.9344
N(E_F) (states/eV per cell): 7.411

a b c (Å): 4.1234 9.1433 9.8801
angles (deg): 108.96 102.04 90.00
Atoms (fractional coordinates):
Cl 0.1671 0.8258 0.3341
Ir 0.5000 0.0000 0.0000
Ac 0.3189 0.4458 0.6379
Ac 0.6811 0.5542 0.3621
Ac 0.9790 0.7557 0.9580
C 0.1689 0.3333 0.3378
Ac 0.0210 0.2443 0.0420
C 0.8311 0.6667 0.6622
Cl 0.5000 0.5000 0.0000
Ac 0.3388 0.8750 0.6776
Cl 0.8329 0.1742 0.6659
Ac 0.6612 0.1250 0.3224